{"formula": "Pa3Co3Te4", "functional": "PBE", "state": "relaxed", "formation_energy_uncorrected_ev_per_atom": -0.625, "spacegroup": "I-43d (220)", "dft_energy_ev_per_atom": -6.862, "total_magnetization_mub_per_fu": 0.00, "lattice_angstrom": [[-4.6913, 4.6913, 4.6913], [4.6913, -4.6913, 4.6913], [4.6913, 4.6913, -4.6913]], "species": ["Pa", "Pa", "Pa", "Pa", "Pa", "Pa", "Co", "Co", "Co", "Co", "Co", "Co", "Te", "Te", "Te", "Te", "Te", "Te", "Te", "Te"], "frac_coords": [[0.1250, 0.7500, 0.8750], [0.2500, 0.6250, 0.3750], [0.3750, 0.2500, 0.6250], [0.6250, 0.3750, 0.2500], [0.7500, 0.8750, 0.1250], [0.8750, 0.1250, 0.7500], [0.1250, 0.8750, 0.2500], [0.2500, 0.1250, 0.8750], [0.3750, 0.6250, 0.7500], [0.6250, 0.7500, 0.3750], [0.7500, 0.3750, 0.6250], [0.8750, 0.2500, 0.1250], [0.0000, 0.3359, 0.5000], [0.0000, 0.8359, 0.5000], [0.1641, 0.1641, 0.1641], [0.3359, 0.5000, 0.0000], [0.5000, 0.0000, 0.3359], [0.5000, 0.0000, 0.8359], [0.6641, 0.6641, 0.6641], [0.8359, 0.5000, 0.0000]]}



{"formula": "Al2PtSe", "functional": "PBE", "state": "relaxed", "formation_energy_uncorrected_ev_per_atom": -0.576, "spacegroup": "Pmmm (47)", "dft_energy_ev_per_atom": -4.829, "total_magnetization_mub_per_fu": 0.00, "lattice_angstrom": [[2.7881, 0.0000, 0.0000], [0.0000, 3.4127, 0.0000], [0.0000, 0.0000, 7.2965]], "species": ["Al", "Al", "Pt", "Se"], "frac_coords": [[0.0000, 0.0000, 0.2091], [0.0000, 0.0000, 0.7909], [0.5000, 0.5000, 0.0000], [0.0000, 0.5000, 0.5000]]}



{"formula": "Cr2ReNiSn", "functional": "PBE", "state": "relaxed", "formation_enthalpy_0k_ev_per_atom": 1.07, "relative_energy_ev_per_atom": 0.0000, "spacegroup": "P4/mmm (123)", "dft_energy_ev_per_atom": -7.227, "total_magnetization_mub_per_fu": 5.77, "lattice_angstrom": [[4.4687, 0.0000, 0.0000], [0.0000, 4.4687, 0.0000], [0.0000, 0.0000, 4.4888]], "species": ["Cr", "Cr", "Re", "Ni", "Sn"], "frac_coords": [[0.0000, 0.5000, 0.0000], [0.5000, 0.0000, 0.0000], [0.0000, 0.0000, 0.5000], [0.0000, 0.0000, 0.0000], [0.5000, 0.5000, 0.5000]]}



no.,N(E_F) (states/eV/cell)
1,30.90
2,0.81
3,6.78